Entry 1:
## Nd2HfUP4 (GGA-PBE)

Data for Nd2HfUP4 after structural relaxation.

Results
Energy of formation (eV/atom): -1.32

CIF file:
```
data_Nd2HfUP4
_symmetry_space_group_name_H-M 'P 1 2/m 1'
_symmetry_Int_Tables_number 10
_symmetry_space_group_name_Hall '-P 2y'
_cell_length_a 6.844
_cell_length_b 3.961
_cell_length_c 6.947
_cell_angle_alpha 90.00
_cell_angle_beta 109.02
_cell_angle_gamma 90.00
loop_
_atom_site_label
_atom_site_type_symbol
_atom_site_fract_x
_atom_site_fract_y
_atom_site_fract_z
Nd1 Nd 0.000 0.000 0.000
Nd2 Nd 0.500 0.500 0.000
Hf1 Hf 0.000 0.500 0.500
U1 U 0.500 0.000 0.500
P1 P 0.236 0.000 0.723
P2 P 0.251 0.500 0.273
```

=====

Entry 2:
## Pm5Nd3 (GGA-PBE)

Data for Pm5Nd3 after structural relaxation.

Results
Energy of formation (eV/atom): 0.01

CIF file:
```
data_Pm5Nd3
_symmetry_space_group_name_H-M 'P 4/m m m'
_symmetry_Int_Tables_number 123
_symmetry_space_group_name_Hall '-P 4 2'
_cell_length_a 3.664
_cell_length_b 3.664
_cell_length_c 20.719
_cell_angle_alpha 90.00
_cell_angle_beta 90.00
_cell_angle_gamma 90.00
loop_
_atom_site_label
_atom_site_type_symbol
_atom_site_fract_x
_atom_site_fract_y
_atom_site_fract_z
Pm1 Pm 0.000 0.000 0.000
Pm2 Pm 0.000 0.000 0.251
Pm3 Pm 0.500 0.500 0.375
Nd1 Nd 0.000 0.000 0.500
Nd2 Nd 0.500 0.500 0.125
```

=====

Entry 3:
## CeNd3Er6Tm2 (GGA-PBE)

Data for CeNd3Er6Tm2 after structural relaxation.

Results
Energy of formation (eV/atom): 0.04

CIF file:
```
data_CeNd3Er6Tm2
_symmetry_space_group_name_H-M 'C 1 2/m 1'
_symmetry_Int_Tables_number 12
_symmetry_space_group_name_Hall '-C 2y'
_cell_length_a 6.155
_cell_length_b 10.658
_cell_length_c 11.726
_cell_angle_alpha 90.00
_cell_angle_beta 100.06
_cell_angle_gamma 90.00
loop_
_atom_site_label
_atom_site_type_symbol
_atom_site_fract_x
_atom_site_fract_y
_atom_site_fract_z
Ce1 Ce 0.000 0.000 0.000
Nd1 Nd 0.000 0.168 0.500
Nd2 Nd 0.000 0.500 0.500
Er1 Er 0.248 0.166 0.246
Er2 Er 0.249 0.000 0.754
Tm1 Tm 0.000 0.333 0.000
```

=====

Entry 4:
## HoEr2ThSc5 (GGA-PBE)

Data for HoEr2ThSc5 after structural relaxation.

Results
Energy of formation (eV/atom): 0.18

CIF file:
```
data_HoEr2ThSc5
_symmetry_space_group_name_H-M 'C m c 21'
_symmetry_Int_Tables_number 36
_symmetry_space_group_name_Hall 'C 2c -2'
_cell_length_a 5.372
_cell_length_b 19.565
_cell_length_c 9.622
_cell_angle_alpha 90.00
_cell_angle_beta 90.00
_cell_angle_gamma 90.00
loop_
_atom_site_label
_atom_site_type_symbol
_atom_site_fract_x
_atom_site_fract_y
_atom_site_fract_z
Ho1 Ho 0.000 0.206 0.000
Er1 Er 0.000 0.105 0.294
Er2 Er 0.000 0.135 0.677
Th1 Th 0.000 0.406 0.397
Sc1 Sc 0.000 0.018 0.998
Sc2 Sc 0.000 0.260 0.327
Sc3 Sc 0.000 0.310 0.700
Sc4 Sc 0.000 0.401 0.993
Sc5 Sc 0.000 0.475 0.699
```

=====

Entry 5:
## HoNpAl (GGA-PBE)

Data for HoNpAl after structural relaxation.

Results
Energy of formation (eV/atom): -0.02

CIF file:
```
data_HoNpAl
_symmetry_space_group_name_H-M 'P 1 21/m 1'
_symmetry_Int_Tables_number 11
_symmetry_space_group_name_Hall '-P 2yb'
_cell_length_a 5.079
_cell_length_b 3.550
_cell_length_c 7.758
_cell_angle_alpha 90.00
_cell_angle_beta 98.71
_cell_angle_gamma 90.00
loop_
_atom_site_label
_atom_site_type_symbol
_atom_site_fract_x
_atom_site_fract_y
_atom_site_fract_z
Ho1 Ho 0.038 0.250 0.182
Np1 Np 0.342 0.750 0.514
Al1 Al 0.476 0.250 0.859
```

=====

Entry 6:
## RbZnSi2 (GGA-PBE)

Data for RbZnSi2 after structural relaxation.

Results
Raw formation energy (eV/atom): 0.31

CIF file:
```
data_RbZnSi2
_symmetry_space_group_name_H-M 'I 41/a m d'
_symmetry_Int_Tables_number 141
_cell_length_a 5.061
_cell_length_b 5.061
_cell_length_c 17.294
_cell_angle_alpha 90.00
_cell_angle_beta 90.00
_cell_angle_gamma 90.00
loop_
_symmetry_equiv_pos_as_xyz
'x,y,z'
'-x,-y,-z'
'-y+1/4,x+3/4,z+1/4'
'y+1/4,-x+3/4,-z+1/4'
'-x+1/2,-y,z+1/2'
'x+1/2,y,-z+1/2'
'y+1/4,-x+1/4,z+3/4'
'-y+1/4,x+1/4,-z+3/4'
'x,-y,-z'
'-x,y,z'
'-y+1/4,-x+1/4,-z+3/4'
'y+1/4,x+1/4,z+3/4'
'-x+1/2,y,-z+1/2'
'x+1/2,-y,z+1/2'
'y+1/4,x+3/4,-z+1/4'
'-y+1/4,-x+3/4,z+1/4'
'x+1/2,y+1/2,z+1/2'
'-x+1/2,-y+1/2,-z+1/2'
'-y+3/4,x+1/4,z+3/4'
'y+3/4,-x+1/4,-z+3/4'
'-x,-y+1/2,z'
'x,y+1/2,-z'
'y+3/4,-x+3/4,z+1/4'
'-y+3/4,x+3/4,-z+1/4'
'x+1/2,-y+1/2,-z+1/2'
'-x+1/2,y+1/2,z+1/2'
'-y+3/4,-x+3/4,-z+1/4'
'y+3/4,x+3/4,z+1/4'
'-x,y+1/2,-z'
'x,-y+1/2,z'
'y+3/4,x+1/4,-z+3/4'
'-y+3/4,-x+1/4,z+3/4'
loop_
_atom_site_label
_atom_site_type_symbol
_atom_site_fract_x
_atom_site_fract_y
_atom_site_fract_z
Rb1 Rb 0.000 0.250 0.375
Zn1 Zn 0.000 0.250 0.875
Si1 Si 0.000 0.000 0.000
```

=====

Entry 7:
## Hf8CoIr2 (GGA-PBE)

Data for Hf8CoIr2 after structural relaxation.

Results
Energy of formation (eV/atom): -0.39

CIF file:
```
data_Hf8CoIr2
_symmetry_space_group_name_H-M 'C 1 2/m 1'
_symmetry_Int_Tables_number 12
_symmetry_space_group_name_Hall '-C 2y'
_cell_length_a 15.643
_cell_length_b 4.571
_cell_length_c 6.256
_cell_angle_alpha 90.00
_cell_angle_beta 98.77
_cell_angle_gamma 90.00
loop_
_atom_site_label
_atom_site_type_symbol
_atom_site_fract_x
_atom_site_fract_y
_atom_site_fract_z
Hf1 Hf 0.026 0.000 0.253
Hf2 Hf 0.089 0.500 0.949
Hf3 Hf 0.161 0.500 0.462
Hf4 Hf 0.196 0.000 0.817
Co1 Co 0.000 0.500 0.500
Ir1 Ir 0.202 0.000 0.235
```

=====

Entry 8:
## Pm2Nd6Tm3Mg (GGA-PBE)

Data for Pm2Nd6Tm3Mg after structural relaxation.

Results
Energy of formation (eV/atom): 0.01

CIF file:
```
data_Pm2Nd6Tm3Mg
_symmetry_space_group_name_H-M 'C 1 2/m 1'
_symmetry_Int_Tables_number 12
_symmetry_space_group_name_Hall '-C 2y'
_cell_length_a 6.231
_cell_length_b 10.802
_cell_length_c 11.840
_cell_angle_alpha 90.00
_cell_angle_beta 100.14
_cell_angle_gamma 90.00
loop_
_atom_site_label
_atom_site_type_symbol
_atom_site_fract_x
_atom_site_fract_y
_atom_site_fract_z
Pm1 Pm 0.000 0.167 0.000
Nd1 Nd 0.248 0.500 0.746
Nd2 Nd 0.249 0.334 0.253
Tm1 Tm 0.000 0.000 0.500
Tm2 Tm 0.000 0.334 0.500
Mg1 Mg 0.000 0.500 0.000
```

=====

Entry 9:
## LaHoGe3 (GGA-PBE)

Data for LaHoGe3 after structural relaxation.

Results
Energy of formation (eV/atom): -0.74

CIF file:
```
data_LaHoGe3
_symmetry_space_group_name_H-M 'C m c m'
_symmetry_Int_Tables_number 63
_symmetry_space_group_name_Hall '-C 2c 2'
_cell_length_a 4.329
_cell_length_b 27.043
_cell_length_c 4.033
_cell_angle_alpha 90.00
_cell_angle_beta 90.00
_cell_angle_gamma 90.00
loop_
_atom_site_label
_atom_site_type_symbol
_atom_site_fract_x
_atom_site_fract_y
_atom_site_fract_z
La1 La 0.000 0.074 0.250
Ho1 Ho 0.000 0.204 0.750
Ge1 Ge 0.000 0.312 0.750
Ge2 Ge 0.000 0.374 0.250
Ge3 Ge 0.000 0.472 0.250
```

=====

Entry 10:
## Pm2CoSb (GGA-PBE)

Data for Pm2CoSb after structural relaxation.

Results
Raw formation energy (eV/atom): -0.31
Energy relative to the lowest polymorph listed for this composition (eV/f.u.): 0.156

CIF file:
```
data_Pm2CoSb
_symmetry_space_group_name_H-M 'F m -3 m'
_symmetry_Int_Tables_number 225
_symmetry_space_group_name_Hall '-F 4 2 3'
_cell_length_a 7.376
_cell_length_b 7.376
_cell_length_c 7.376
_cell_angle_alpha 90.00
_cell_angle_beta 90.00
_cell_angle_gamma 90.00
loop_
_atom_site_label
_atom_site_type_symbol
_atom_site_fract_x
_atom_site_fract_y
_atom_site_fract_z
Pm1 Pm 0.250 0.250 0.250
Co1 Co 0.000 0.000 0.000
Sb1 Sb 0.000 0.000 0.500
```

=====

Entry 11:
## Cd3Cu2 (GGA-PBE)

Data for Cd3Cu2 after structural relaxation.

Results
Energy relative to the lowest polymorph listed for this composition (eV/f.u.): 0.317
Energy of formation (eV/atom): 0.11

CIF file:
```
data_Cd3Cu2
_symmetry_space_group_name_H-M 'F d d 2'
_symmetry_Int_Tables_number 43
_symmetry_space_group_name_Hall 'F 2 -2d'
_cell_length_a 10.755
_cell_length_b 13.392
_cell_length_c 5.023
_cell_angle_alpha 90.00
_cell_angle_beta 90.00
_cell_angle_gamma 90.00
loop_
_atom_site_label
_atom_site_type_symbol
_atom_site_fract_x
_atom_site_fract_y
_atom_site_fract_z
Cd1 Cd 0.000 0.000 0.000
Cd2 Cd 0.069 0.105 0.509
Cu1 Cu 0.025 0.209 0.981
```

=====

Entry 12:
## Sm5Y4Ho4 (GGA-PBE)

Data for Sm5Y4Ho4 after structural relaxation.

Results
Energy of formation (eV/atom): 0.02

CIF file:
```
data_Sm5Y4Ho4
_symmetry_space_group_name_H-M 'I 4/m'
_symmetry_Int_Tables_number 87
_symmetry_space_group_name_Hall '-I 4'
_cell_length_a 12.908
_cell_length_b 12.908
_cell_length_c 5.054
_cell_angle_alpha 90.00
_cell_angle_beta 90.00
_cell_angle_gamma 90.00
loop_
_atom_site_label
_atom_site_type_symbol
_atom_site_fract_x
_atom_site_fract_y
_atom_site_fract_z
Sm1 Sm 0.000 0.000 0.000
Sm2 Sm 0.039 0.807 0.500
Y1 Y 0.077 0.616 0.000
Ho1 Ho 0.154 0.232 0.000
```

=====

Please write out number 6 again, unchanged.
## RbZnSi2 (GGA-PBE)

Data for RbZnSi2 after structural relaxation.

Results
Raw formation energy (eV/atom): 0.31

CIF file:
```
data_RbZnSi2
_symmetry_space_group_name_H-M 'I 41/a m d'
_symmetry_Int_Tables_number 141
_cell_length_a 5.061
_cell_length_b 5.061
_cell_length_c 17.294
_cell_angle_alpha 90.00
_cell_angle_beta 90.00
_cell_angle_gamma 90.00
loop_
_symmetry_equiv_pos_as_xyz
'x,y,z'
'-x,-y,-z'
'-y+1/4,x+3/4,z+1/4'
'y+1/4,-x+3/4,-z+1/4'
'-x+1/2,-y,z+1/2'
'x+1/2,y,-z+1/2'
'y+1/4,-x+1/4,z+3/4'
'-y+1/4,x+1/4,-z+3/4'
'x,-y,-z'
'-x,y,z'
'-y+1/4,-x+1/4,-z+3/4'
'y+1/4,x+1/4,z+3/4'
'-x+1/2,y,-z+1/2'
'x+1/2,-y,z+1/2'
'y+1/4,x+3/4,-z+1/4'
'-y+1/4,-x+3/4,z+1/4'
'x+1/2,y+1/2,z+1/2'
'-x+1/2,-y+1/2,-z+1/2'
'-y+3/4,x+1/4,z+3/4'
'y+3/4,-x+1/4,-z+3/4'
'-x,-y+1/2,z'
'x,y+1/2,-z'
'y+3/4,-x+3/4,z+1/4'
'-y+3/4,x+3/4,-z+1/4'
'x+1/2,-y+1/2,-z+1/2'
'-x+1/2,y+1/2,z+1/2'
'-y+3/4,-x+3/4,-z+1/4'
'y+3/4,x+3/4,z+1/4'
'-x,y+1/2,-z'
'x,-y+1/2,z'
'y+3/4,x+1/4,-z+3/4'
'-y+3/4,-x+1/4,z+3/4'
loop_
_atom_site_label
_atom_site_type_symbol
_atom_site_fract_x
_atom_site_fract_y
_atom_site_fract_z
Rb1 Rb 0.000 0.250 0.375
Zn1 Zn 0.000 0.250 0.875
Si1 Si 0.000 0.000 0.000
```